No. 1
## CoP2Ru (PBE-GGA)

Data for a relaxed structure of CoP2Ru.

energy of formation from the pure elements	-0.140	eV per atom
offset from the most stable computed form	208	meV per atom
total magnetization	0.00	μB per atom

abc: 2.940 2.940 5.539
angles: 90.00 90.00 90.00
Space group P4/mmm (No. 123)
Symmetry-distinct sites (fractional):
Co 0.000 0.000 0.000 x1
P 0.500 0.500 0.230 x2
Ru 0.000 0.000 0.500 x1

No. 2
## Co2P2Ru (PBE-GGA)

Data for a relaxed structure of Co2P2Ru.

energy of formation from the pure elements	-0.307	eV per atom
total magnetization	0.00	μB per atom

abc: 6.347 6.347 2.849
angles: 90.00 90.00 90.00
Space group P4/mbm (No. 127)
Symmetry-distinct sites (fractional):
Co 0.139 0.361 0.000 x4
P 0.152 0.652 0.500 x4
Ru 0.000 0.000 0.500 x2

No. 3
## CoP2Ru (PBE-GGA)

Data for a relaxed structure of CoP2Ru.

energy of formation from the pure elements	-0.226	eV per atom
offset from the most stable computed form	122	meV per atom
total magnetization	0.00	μB per atom

abc: 2.8558 2.8558 20.9798
angles: 90.00 90.00 120.00
Space group R-3m (No. 166, hexagonal axes)
Symmetry-distinct sites (fractional):
Co 0.0000 0.0000 0.0000 x3
P 0.0000 0.0000 0.2531 x6
Ru 0.0000 0.0000 0.5000 x3

No. 4
## Co2PRu (PBE-GGA)

Data for a relaxed structure of Co2PRu.

energy of formation from the pure elements	-0.136	eV per atom
total magnetization	0.54	μB per atom

abc: 3.591 2.757 9.526
angles: 90.00 90.00 90.00
Space group Amm2 (No. 38)
Symmetry-distinct sites (fractional):
Co 0.000 0.000 0.000 x2
Co 0.500 0.000 0.388 x2
P 0.500 0.000 0.138 x2
Ru 0.000 0.000 0.735 x2

No. 5
## CoP2Ru (PBE-GGA)

Data for a relaxed structure of CoP2Ru.

energy of formation from the pure elements	-0.090	eV per atom
offset from the most stable computed form	258	meV per atom
total magnetization	0.14	μB per atom

abc: 2.829 2.829 7.232
angles: 90.00 90.00 90.00
Space group P4mm (No. 99)
Symmetry-distinct sites (fractional):
Co 0.000 0.000 0.000 x1
P 0.000 0.000 0.561 x1
P 0.500 0.500 0.156 x1
Ru 0.500 0.500 0.741 x1

No. 6
## CoP2Ru (PBE-GGA)

Data for a relaxed structure of CoP2Ru.

energy of formation from the pure elements	-0.080	eV per atom
offset from the most stable computed form	269	meV per atom
total magnetization	0.00	μB per atom

abc: 2.935 3.915 8.887
angles: 90.00 90.00 90.00
Space group Imm2 (No. 44)
Symmetry-distinct sites (fractional):
Co 0.000 0.000 0.000 x2
P 0.000 0.000 0.479 x2
P 0.000 0.500 0.695 x2
Ru 0.000 0.500 0.207 x2

No. 7
## Co2PRu (PBE-GGA)

Data for a relaxed structure of Co2PRu.

energy of formation from the pure elements	-0.080	eV per atom
total magnetization	0.85	μB per atom

abc: 2.830 2.830 5.930
angles: 90.00 90.00 90.00
Space group P4mm (No. 99)
Symmetry-distinct sites (fractional):
Co 0.000 0.000 0.000 x1
Co 0.500 0.500 0.254 x1
P 0.000 0.000 0.477 x1
Ru 0.500 0.500 0.707 x1

No. 8
## Co2SbPRu (PBE-GGA)

Data for a relaxed structure of Co2SbPRu.

energy relative to the elements, uncorrected	853	meV per atom
total magnetization	0.80	μB per atom

abc: 4.686 4.686 4.322
angles: 90.00 90.00 90.00
Space group P4/mmm (No. 123)
Symmetry-distinct sites (fractional):
Co 0.000 0.500 0.000 x2
Sb 0.000 0.000 0.500 x1
P 0.500 0.500 0.500 x1
Ru 0.500 0.500 0.000 x1

No. 9
## ScCoP2Ru (PBE-GGA)

Data for a relaxed structure of ScCoP2Ru.

energy of formation from the pure elements	-0.933	eV per atom
total magnetization	0.00	μB per atom

abc: 3.825 3.825 9.466
angles: 90.00 90.00 90.00
Space group I-4m2 (No. 119)
Symmetry-distinct sites (fractional):
Sc 0.000 0.000 0.000 x2
Co 0.000 0.500 0.250 x2
P 0.000 0.000 0.382 x4
Ru 0.000 0.500 0.750 x2

No. 10
## Sm2Co3P4Ru (PBE-GGA)

Data for a relaxed structure of Sm2Co3P4Ru.

energy of formation from the pure elements	-1.006	eV per atom
total magnetization	0.00	μB per atom

abc: 3.998 3.998 9.225
angles: 90.00 90.00 90.00
Space group P-4m2 (No. 115)
Symmetry-distinct sites (fractional):
Sm 0.000 0.500 0.237 x2
Co 0.000 0.500 0.889 x2
Co 0.500 0.500 0.500 x1
P 0.000 0.000 0.000 x1
P 0.000 0.500 0.638 x2
P 0.500 0.500 0.000 x1
Ru 0.000 0.000 0.500 x1

No. 11
## TaCo2PRu (PBE-GGA)

Data for a relaxed structure of TaCo2PRu.

energy of formation from the pure elements	1.490	eV per atom
total magnetization	0.72	μB per atom

abc: 4.428 4.428 4.653
angles: 90.00 90.00 90.00
Space group P4/mmm (No. 123)
Symmetry-distinct sites (fractional):
Ta 0.000 0.000 0.000 x1
Co 0.000 0.500 0.000 x2
P 0.000 0.000 0.500 x1
Ru 0.500 0.500 0.500 x1

No. 12
## TbCoP2Ru (PBE-GGA)

Data for a relaxed structure of TbCoP2Ru.

energy of formation from the pure elements	-0.992	eV per atom
total magnetization	0.00	μB per atom

abc: 3.896 3.896 9.742
angles: 90.00 90.00 90.00
Space group I-4m2 (No. 119)
Symmetry-distinct sites (fractional):
Tb 0.000 0.000 0.000 x2
Co 0.000 0.500 0.250 x2
P 0.000 0.000 0.379 x4
Ru 0.000 0.500 0.750 x2

So what do the calculations give for final energy? Going down the list: -0.255 -0.263 -0.258 -0.270 -0.253 -0.253 -0.268 -0.211 -0.281 -0.264 -0.245 -0.270 hartree per atom.